## MnFeSi (PBE)

Data for a geometry-optimized MnFeSi structure.

abc: 2.600 3.435 7.354
angles: 90.00 90.00 90.00
Space group Imm2 (No. 44)
Inequivalent atoms, fractional coordinates:
Mn: 0.000 0.000 0.000 [2 per cell]
Fe: 0.000 0.000 0.330 [2 per cell]
Si: 0.000 0.000 0.667 [2 per cell]

Values from the calculation:
total magnetic moment	1.8	μB per cell
raw total energy	-7.8795	eV per atom
formation energy from raw total energies	-56	kJ/mol of formula units



## K2PmSb2O6 (PBE)

Data for a geometry-optimized K2PmSb2O6 structure.

abc: 10.107 6.381 7.436
angles: 90.00 115.78 90.00
Space group C2/m (No. 12)
Inequivalent atoms, fractional coordinates:
K: 0.200 0.000 0.146 [4 per cell]
Pm: 0.000 0.000 0.500 [2 per cell]
Sb: 0.068 0.500 0.235 [4 per cell]
O: 0.046 0.259 0.751 [8 per cell]
O: 0.244 0.000 0.534 [4 per cell]

Values from the calculation:
total magnetic moment	2.0	μB per cell
raw total energy	-5.9131	eV per atom
formation energy from raw total energies	-1940	kJ/mol of formula units



## Pm8Dy3Sc2 (PBE)

Data for a geometry-optimized Pm8Dy3Sc2 structure.

abc: 7.755 5.681 10.594
angles: 90.00 111.43 90.00
Space group P2/m (No. 10)
Inequivalent atoms, fractional coordinates:
Pm: 0.095 0.000 0.279 [2 per cell]
Pm: 0.178 0.500 0.857 [2 per cell]
Pm: 0.316 0.000 0.722 [2 per cell]
Pm: 0.367 0.500 0.234 [2 per cell]
Dy: 0.212 0.500 0.500 [2 per cell]
Dy: 0.500 0.000 0.500 [1 per cell]
Sc: 0.260 0.000 0.020 [2 per cell]

Values from the calculation:
total magnetic moment	0.0	μB per cell
raw total energy	-4.7421	eV per atom
formation enthalpy at 0 K	0.22	eV/atom



## CdPdBr4 (PBE)

Data for a geometry-optimized CdPdBr4 structure.

abc: 6.675 3.975 6.911
angles: 90.00 91.36 90.00
Space group P2/m (No. 10)
Inequivalent atoms, fractional coordinates:
Cd: 0.000 0.000 0.000 [1 per cell]
Pd: 0.000 0.500 0.500 [1 per cell]
Br: 0.221 0.000 0.352 [2 per cell]
Br: 0.232 0.500 0.825 [2 per cell]

Values from the calculation:
total magnetic moment	2.0	μB per cell
raw total energy	-2.6416	eV per atom
formation energy from raw total energies	-294	kJ/mol of formula units



## Np3CoS6 (PBE)

Data for a geometry-optimized Np3CoS6 structure.

abc: 10.535 12.902 6.325
angles: 90.00 90.00 90.00
Space group Cmc2_1 (No. 36)
Inequivalent atoms, fractional coordinates:
Np: 0.000 0.108 0.000 [4 per cell]
Np: 0.176 0.398 0.085 [8 per cell]
Co: 0.000 0.306 0.656 [4 per cell]
S: 0.000 0.278 0.295 [4 per cell]
S: 0.000 0.467 0.792 [4 per cell]
S: 0.162 0.029 0.293 [8 per cell]
S: 0.171 0.235 0.810 [8 per cell]

Values from the calculation:
total magnetic moment	48.1	μB per cell
raw total energy	-8.2105	eV per atom
formation energy from raw total energies	-1101	kJ/mol of formula units



## KY2Tl3 (PBE)

Data for a geometry-optimized KY2Tl3 structure.

abc: 3.865 3.865 12.326
angles: 90.00 90.00 90.00
Space group P4/mmm (No. 123)
Inequivalent atoms, fractional coordinates:
K: 0.000 0.000 0.000 [1 per cell]
Y: 0.000 0.000 0.347 [2 per cell]
Tl: 0.500 0.500 0.206 [2 per cell]
Tl: 0.500 0.500 0.500 [1 per cell]

Values from the calculation:
total magnetic moment	0.0	μB per cell
raw total energy	-3.7893	eV per atom
formation enthalpy at 0 K	-0.27	eV/atom



## Be2AgP2 (PBE)

Data for a geometry-optimized Be2AgP2 structure.

abc: 3.955 3.955 8.807
angles: 90.00 90.00 90.00
Space group I4/mmm (No. 139)
Inequivalent atoms, fractional coordinates:
Be: 0.000 0.500 0.250 [4 per cell]
Ag: 0.000 0.000 0.000 [2 per cell]
P: 0.000 0.000 0.373 [4 per cell]

Values from the calculation:
total magnetic moment	0.0	μB per cell
raw total energy	-4.1108	eV per atom
formation enthalpy at 0 K	0.11	eV/atom



## CsB10H13C (PBE)

Data for a geometry-optimized CsB10H13C structure.

abc: 8.190 10.929 12.371
angles: 90.00 93.57 90.00
Space group P2_1/c (No. 14)
Inequivalent atoms, fractional coordinates:
Cs: 0.157 0.240 0.012 [4 per cell]
B: 0.092 0.622 0.739 [4 per cell]
B: 0.180 0.566 0.864 [4 per cell]
B: 0.184 0.027 0.248 [4 per cell]
B: 0.219 0.569 0.637 [4 per cell]
B: 0.223 0.720 0.823 [4 per cell]
B: 0.226 0.724 0.674 [4 per cell]
B: 0.356 0.018 0.340 [4 per cell]
B: 0.385 0.017 0.199 [4 per cell]
B: 0.416 0.633 0.648 [4 per cell]
B: 0.495 0.590 0.786 [4 per cell]
H: 0.053 0.133 0.775 [4 per cell]
H: 0.102 0.118 0.238 [4 per cell]
H: 0.104 0.547 0.942 [4 per cell]
H: 0.165 0.548 0.546 [4 per cell]
H: 0.166 0.698 0.116 [4 per cell]
H: 0.170 0.698 0.376 [4 per cell]
H: 0.307 0.717 0.249 [4 per cell]
H: 0.362 0.077 0.689 [4 per cell]
H: 0.409 0.096 0.400 [4 per cell]
H: 0.413 0.648 0.960 [4 per cell]
H: 0.445 0.103 0.156 [4 per cell]
H: 0.493 0.694 0.723 [4 per cell]
H: 0.494 0.642 0.570 [4 per cell]
C: 0.367 0.630 0.877 [4 per cell]

Values from the calculation:
total magnetic moment	0.0	μB per cell
raw total energy	-5.0604	eV per atom